(1)
{"formula": "KZnInAs2", "functional": "GGA-PBE", "state": "optimized geometry", "spacegroup": "C2/m", "lattice": [[-0.1961, -3.1424, 2.9620], [6.8222, 2.6208, 0.0778], [-3.9895, 6.2037, 6.3174]], "species": ["K", "K", "Zn", "Zn", "In", "In", "As", "As", "As", "As"], "fractional_positions": [[0.3330, 0.6659, 0.3267], [0.6670, 0.3341, 0.6733], [0.6737, 0.3473, 0.0783], [0.3263, 0.6527, 0.9217], [0.0438, 0.0875, 0.1954], [0.9562, 0.9125, 0.8046], [0.3726, 0.7452, 0.6767], [0.6274, 0.2548, 0.3233], [0.1378, 0.2755, 0.9399], [0.8622, 0.7245, 0.0601]]}

---

(2)
{"formula": "KZnIn2As", "functional": "GGA-PBE", "state": "optimized geometry", "spacegroup": "P4/mmm", "lattice": [[6.0074, 0.0000, 0.0000], [0.0000, 5.4697, 0.0000], [0.0000, 0.0000, 6.0074]], "species": ["K", "As", "Zn", "In", "In"], "fractional_positions": [[0.0000, 0.0000, 0.0000], [0.5000, 0.5000, 0.5000], [0.0000, 0.5000, 0.0000], [0.0000, 0.0000, 0.5000], [0.5000, 0.0000, 0.0000]]}

---

(3)
{"formula": "LaInAs2", "functional": "GGA-PBE", "state": "optimized geometry", "spacegroup": "P4/mmm", "lattice": [[-2.4073, 1.3225, 4.0354], [2.7312, -3.0690, 2.6365], [2.6623, 2.9134, 0.6334]], "species": ["As", "As", "In", "La"], "fractional_positions": [[0.0000, 0.0000, 0.0000], [0.5000, 0.5000, 0.0000], [0.5000, 0.0000, 0.5000], [0.0000, 0.5000, 0.5000]]}

---

(4)
{"formula": "La4InAs2", "functional": "GGA-PBE", "state": "optimized geometry", "spacegroup": "I4/mmm", "lattice": [[-3.9722, 0.6030, 4.1457], [3.2986, -3.0715, 3.6074], [3.2209, 5.4484, 6.3134]], "species": ["As", "As", "In", "La", "La", "La", "La"], "fractional_positions": [[0.6208, 0.6208, 0.7584], [0.3792, 0.3792, 0.2416], [0.0000, 0.0000, 0.0000], [0.8002, 0.8002, 0.3995], [0.1998, 0.1998, 0.6005], [0.0000, 0.5000, 0.0000], [0.5000, 0.0000, 0.0000]]}

---

(5)
{"formula": "LaIn2As2", "functional": "GGA-PBE", "state": "optimized geometry", "spacegroup": "I4/mmm", "lattice": [[-3.3905, -2.3879, -0.8008], [2.0465, -1.8291, -3.2102], [1.9359, -7.3756, 2.6582]], "species": ["As", "As", "In", "In", "La"], "fractional_positions": [[0.4166, 0.4166, 0.1667], [0.5834, 0.5834, 0.8333], [0.7500, 0.2500, 0.5000], [0.2500, 0.7500, 0.5000], [0.0000, 0.0000, 0.0000]]}

---

(6)
{"formula": "LaInAs2", "functional": "GGA-PBE", "state": "optimized geometry", "spacegroup": "I4/mmm", "lattice": [[-3.0913, -3.2446, 3.1313], [0.1818, -4.8498, -2.5170], [4.1635, 3.2106, 1.4986]], "species": ["As", "As", "In", "La"], "fractional_positions": [[0.0000, 0.0000, 0.0000], [0.5000, 0.5000, 0.0000], [0.7500, 0.2500, 0.5000], [0.2500, 0.7500, 0.5000]]}

---

(7)
{"formula": "LaInAs2", "functional": "GGA-PBE", "state": "optimized geometry", "spacegroup": "I-42d", "lattice": [[-7.0735, 1.3315, 1.7810], [-2.1692, -5.4380, -4.5499], [-4.3479, -4.7714, 1.7338]], "species": ["As", "As", "As", "As", "In", "In", "La", "La"], "fractional_positions": [[0.5881, 0.1250, 0.2500], [0.1619, 0.6250, 0.2500], [0.3750, 0.4119, 0.7500], [0.8750, 0.8381, 0.7500], [0.5000, 0.5000, 0.0000], [0.2500, 0.7500, 0.5000], [0.0000, 0.0000, 0.0000], [0.7500, 0.2500, 0.5000]]}

---

(8)
{"formula": "LaInAs3", "functional": "GGA-PBE", "state": "optimized geometry", "spacegroup": "Pm-3m", "lattice": [[-1.6585, -4.3450, -3.2714], [5.3133, -2.0251, -0.0040], [-1.1620, -3.0581, 4.6508]], "species": ["As", "As", "As", "In", "La"], "fractional_positions": [[0.0000, 0.5000, 0.0000], [0.0000, 0.0000, 0.5000], [0.5000, 0.0000, 0.0000], [0.5000, 0.5000, 0.5000], [0.0000, 0.0000, 0.0000]]}

---

(9)
{"formula": "LaIn4As", "functional": "GGA-PBE", "state": "optimized geometry", "spacegroup": "F-43m", "lattice": [[-4.4788, -0.7521, -4.0838], [-5.1422, 3.2617, 0.4717], [-1.2056, 4.4043, -4.0561]], "species": ["La", "In", "In", "In", "In", "As"], "fractional_positions": [[0.7500, 0.7500, 0.7500], [0.8764, 0.3745, 0.3745], [0.3745, 0.3745, 0.8764], [0.3745, 0.8764, 0.3745], [0.3745, 0.3745, 0.3745], [0.0000, 0.0000, 0.0000]]}

---

(10)
{"formula": "LaIn2As2", "functional": "GGA-PBE", "state": "optimized geometry", "spacegroup": "P4/mbm", "lattice": [[-3.2594, 1.7470, -6.9771], [4.4134, -5.5626, -3.4547], [-2.9036, -2.7228, 0.6747]], "species": ["As", "As", "As", "As", "In", "In", "In", "In", "La", "La"], "fractional_positions": [[0.3534, 0.8534, 0.0000], [0.8534, 0.6466, 0.0000], [0.6466, 0.1466, 0.0000], [0.1466, 0.3534, 0.0000], [0.1524, 0.6524, 0.5000], [0.6524, 0.8476, 0.5000], [0.8476, 0.3476, 0.5000], [0.3476, 0.1524, 0.5000], [0.0000, 0.0000, 0.0000], [0.5000, 0.5000, 0.0000]]}

---

(11)
{"formula": "LaInAs3", "functional": "GGA-PBE", "state": "optimized geometry", "spacegroup": "Pm-3m", "lattice": [[-0.1708, -0.6085, -5.1430], [0.9938, -5.0541, 0.5650], [-5.0827, -0.9677, 0.2833]], "species": ["As", "As", "As", "In", "La"], "fractional_positions": [[0.0000, 0.5000, 0.0000], [0.0000, 0.0000, 0.5000], [0.5000, 0.0000, 0.0000], [0.0000, 0.0000, 0.0000], [0.5000, 0.5000, 0.5000]]}

---

(12)
{"formula": "LaIn2As2", "functional": "GGA-PBE", "state": "optimized geometry", "spacegroup": "I4/mmm", "lattice": [[5.3058, 0.0000, 0.0000], [0.0000, 5.3058, 0.0000], [2.6529, 2.6529, 4.6793]], "species": ["As", "As", "In", "In", "La"], "fractional_positions": [[0.7500, 0.2500, 0.5000], [0.2500, 0.7500, 0.5000], [0.3510, 0.3510, 0.2981], [0.6490, 0.6490, 0.7019], [0.0000, 0.0000, 0.0000]]}

---

Number 1: energy of formation -0.343 eV per atom, final energy -3.225 eV/atom. Number 2: energy of formation 1.071 eV per atom, final energy -1.429 eV/atom. Number 3: energy of formation -0.701 eV per atom, final energy -4.942 eV/atom. Number 4: energy of formation -0.288 eV per atom, final energy -4.824 eV/atom. Number 5: energy of formation -0.516 eV per atom, final energy -4.457 eV/atom. Number 6: energy of formation -0.572 eV per atom, final energy -4.813 eV/atom. Number 7: energy of formation -0.653 eV per atom, final energy -4.895 eV/atom. Number 8: energy of formation 0.412 eV per atom, final energy -3.911 eV/atom. Number 9: energy of formation -0.075 eV per atom, final energy -3.497 eV/atom. Number 10: energy of formation -0.418 eV per atom, final energy -4.359 eV/atom. Number 11: energy of formation 0.029 eV per atom, final energy -4.294 eV/atom. Number 12: energy of formation -0.411 eV per atom, final energy -4.352 eV/atom.